Record 1
Material: NpBeGa2
Method: DFT, GGA-PBE
State: optimized geometry

Cell and atoms, written as POSCAR:
```
NpBeGa2
1.0
3.9797 0.0000 0.0000
-1.9899 3.4466 0.0000
0.0000 0.0000 15.8586
Np Be Ga
3 3 6
direct
0.0000 0.0000 0.0000
0.3333 0.6667 0.6667
0.6667 0.3333 0.3333
0.0000 0.0000 0.5000
0.3333 0.6667 0.1667
0.6667 0.3333 0.8333
0.0000 0.0000 0.2137
0.0000 0.0000 0.7863
0.3333 0.6667 0.4530
0.3333 0.6667 0.8804
0.6667 0.3333 0.1196
0.6667 0.3333 0.5470
```

Values from the calculation:
The value obtained for the final energy is -5.62 eV/atom. The calculation puts the calculated formation energy at 1.3 kcal/mol of atoms.

=====

Record 2
Material: LaAlSb2
Method: DFT, GGA-PBE
State: optimized geometry

Cell and atoms, written as POSCAR:
```
LaAlSb2
1.0
4.0636 0.0000 0.0000
0.0000 4.1527 0.0000
-0.0224 0.0000 6.3967
La Al Sb
1 1 2
direct
0.0000 0.0000 0.0000
0.0000 0.0000 0.5000
0.4986 0.5000 0.7306
0.5014 0.5000 0.2694
```

Values from the calculation:
The value obtained for the final energy is -4.71 eV/atom. The calculation puts the formation energy without anion corrections at -1.9 eV per formula unit.

=====

Record 3
Material: BeTcAs
Method: DFT, GGA-PBE
State: optimized geometry

Cell and atoms, written as POSCAR:
```
BeTcAs
1.0
8.5925 0.0000 0.0000
0.0000 3.2596 0.0000
-2.3031 0.0000 5.8917
Be Tc As
4 4 4
direct
0.0455 0.0000 0.3691
0.4545 0.5000 0.6309
0.5455 0.5000 0.3691
0.9545 0.0000 0.6309
0.2250 0.5000 0.2944
0.2750 0.0000 0.7056
0.7250 0.0000 0.2944
0.7750 0.5000 0.7056
0.1072 0.5000 0.8554
0.3928 0.0000 0.1446
0.6072 0.0000 0.8554
0.8928 0.5000 0.1446
```

Values from the calculation:
The value obtained for the final energy is -6.30 eV/atom. The calculation puts the calculated formation energy at -1.2 kcal/mol of atoms. As for the offset from the most stable computed form: 22.6 kJ/mol of atoms.

=====

What did we get for Fermi-level density of states? Answer: 1.44 0.54 0.37 states/eV/atom, in the order shown.